1.
## Cr12Rh17 (GGA-PBE)

Data for a geometry-optimized Cr12Rh17 structure.

Values from the calculation:
- DFT formation energy: -0.05 eV/atom
- Total energy: -8.34 eV/atom

a = 9.169 Å, b = 9.169 Å, c = 9.169 Å
α = 90.00°, β = 90.00°, γ = 90.00°
Space group I-43m (No. 217)
Symmetry-distinct sites (fractional):
Cr (0.086, 0.086, 0.719) x24
Rh (0.000, 0.000, 0.000) x2
Rh (0.038, 0.354, 0.646) x24
Rh (0.167, 0.167, 0.167) x8

2.
## AcTbGa2 (GGA-PBE)

Data for a geometry-optimized AcTbGa2 structure.

Values from the calculation:
- DFT formation energy: -0.51 eV/atom
- Total energy: -4.20 eV/atom

a = 3.768 Å, b = 3.768 Å, c = 7.438 Å
α = 90.00°, β = 90.00°, γ = 90.00°
Space group P4/mmm (No. 123)
Symmetry-distinct sites (fractional):
Ac (0.000, 0.000, 0.000) x1
Tb (0.000, 0.000, 0.500) x1
Ga (0.500, 0.500, 0.284) x2

3.
## Pm7Rh2Au2 (GGA-PBE)

Data for a geometry-optimized Pm7Rh2Au2 structure.

Values from the calculation:
- DFT formation energy: -0.57 eV/atom
- Total energy: -5.52 eV/atom
- Offset from the most stable computed form: 0.000 eV per atom

a = 3.969 Å, b = 15.910 Å, c = 9.733 Å
α = 90.00°, β = 90.00°, γ = 90.00°
Space group Imm2 (No. 44)
Symmetry-distinct sites (fractional):
Pm (0.000, 0.000, 0.000) x2
Pm (0.000, 0.106, 0.627) x4
Pm (0.000, 0.310, 0.408) x4
Pm (0.000, 0.384, 0.786) x4
Rh (0.000, 0.000, 0.378) x2
Rh (0.000, 0.500, 0.294) x2
Au (0.000, 0.237, 0.119) x4

4.
## Tc3Ru (GGA-PBE)

Data for a geometry-optimized Tc3Ru structure.

Values from the calculation:
- DFT formation energy: -0.04 eV/atom
- Total energy: -10.13 eV/atom
- Offset from the most stable computed form: 0.005 eV per atom

a = 2.757 Å, b = 4.367 Å, c = 4.772 Å
α = 90.00°, β = 90.00°, γ = 90.00°
Space group Pmm2 (No. 25)
Symmetry-distinct sites (fractional):
Tc (0.000, 0.000, 0.000) x1
Tc (0.000, 0.500, 0.333) x1
Tc (0.500, 0.500, 0.832) x1
Ru (0.500, 0.000, 0.497) x1

5.
## GaFe3 (GGA-PBE)

Data for a geometry-optimized GaFe3 structure.

Values from the calculation:
- DFT formation energy: -0.10 eV/atom
- Total energy: -7.20 eV/atom

a = 3.844 Å, b = 3.844 Å, c = 6.544 Å
α = 90.00°, β = 90.00°, γ = 90.00°
Space group I4/mmm (No. 139)
Symmetry-distinct sites (fractional):
Ga (0.000, 0.000, 0.000) x2
Fe (0.000, 0.000, 0.500) x2
Fe (0.000, 0.500, 0.250) x4

6.
## Zn6PtAu8 (GGA-PBE)

Data for a geometry-optimized Zn6PtAu8 structure.

Values from the calculation:
- DFT formation energy: -0.14 eV/atom
- Total energy: -2.80 eV/atom

a = 7.5697 Å, b = 7.5697 Å, c = 16.1701 Å
α = 90.00°, β = 90.00°, γ = 120.00°
Space group R-3 (No. 148, hexagonal axes)
Symmetry-distinct sites (fractional):
Zn (0.0038, 0.6587, 0.2214) x18
Pt (0.0000, 0.0000, 0.5000) x3
Au (0.0000, 0.0000, 0.1858) x6
Au (0.0034, 0.3280, 0.9486) x18

7.
## CaTb7In4 (GGA-PBE)

Data for a geometry-optimized CaTb7In4 structure.

Values from the calculation:
- DFT formation energy: -0.09 eV/atom
- Total energy: -3.87 eV/atom

a = 14.103 Å, b = 5.702 Å, c = 11.050 Å
α = 90.00°, β = 124.81°, γ = 90.00°
Space group C2/m (No. 12)
Symmetry-distinct sites (fractional):
Ca (0.000, 0.000, 0.000) x2
Tb (0.000, 0.500, 0.000) x2
Tb (0.058, 0.000, 0.380) x4
Tb (0.186, 0.500, 0.617) x4
Tb (0.217, 0.000, 0.875) x4
In (0.066, 0.500, 0.775) x4
In (0.187, 0.500, 0.330) x4

8.
## Zn2CuAg8 (GGA-PBE)

Data for a geometry-optimized Zn2CuAg8 structure.

Values from the calculation:
- DFT formation energy: 0.03 eV/atom
- Total energy: -2.65 eV/atom
- Offset from the most stable computed form: 0.000 eV per atom

a = 14.191 Å, b = 4.219 Å, c = 6.576 Å
α = 90.00°, β = 108.98°, γ = 90.00°
Space group C2/m (No. 12)
Symmetry-distinct sites (fractional):
Zn (0.224, 0.000, 0.142) x4
Cu (0.000, 0.500, 0.500) x2
Ag (0.046, 0.000, 0.231) x4
Ag (0.096, 0.500, 0.951) x4
Ag (0.140, 0.000, 0.693) x4
Ag (0.179, 0.500, 0.420) x4

9.
## Ca2TmWN4 (GGA-PBE)

Data for a geometry-optimized Ca2TmWN4 structure.

Values from the calculation:
- Total energy: -7.94 eV/atom
- Energy relative to the elements, uncorrected: -1099 meV/atom

a = 5.703 Å, b = 3.261 Å, c = 5.869 Å
α = 90.00°, β = 108.53°, γ = 90.00°
Space group P2/m (No. 10)
Symmetry-distinct sites (fractional):
Ca (0.000, 0.000, 0.000) x1
Ca (0.500, 0.500, 0.000) x1
Tm (0.000, 0.500, 0.500) x1
W (0.500, 0.000, 0.500) x1
N (0.270, 0.000, 0.711) x2
N (0.277, 0.500, 0.284) x2

10.
## MnBeSe (GGA-PBE)

Data for a geometry-optimized MnBeSe structure.

Values from the calculation:
- Total energy: -5.35 eV/atom
- Offset from the most stable computed form: 0.000 eV per atom
- Energy relative to the elements, uncorrected: 107 meV/atom

a = 3.086 Å, b = 3.086 Å, c = 7.327 Å
α = 90.00°, β = 90.00°, γ = 90.00°
Space group I4mm (No. 107)
Symmetry-distinct sites (fractional):
Mn (0.000, 0.000, 0.000) x2
Be (0.000, 0.000, 0.661) x2
Se (0.000, 0.000, 0.337) x2

11.
## Rb2Ba8LiSb6O2 (GGA-PBE)

Data for a geometry-optimized Rb2Ba8LiSb6O2 structure.

Values from the calculation:
- Total energy: -4.02 eV/atom
- Offset from the most stable computed form: 0.010 eV per atom
- Energy relative to the elements, uncorrected: -1183 meV/atom

a = 12.782 Å, b = 16.989 Å, c = 13.177 Å
α = 90.00°, β = 90.00°, γ = 90.00°
Space group Fmm2 (No. 42)
Symmetry-distinct sites (fractional):
Rb (0.244, 0.000, 0.000) x8
Ba (0.000, 0.152, 0.906) x8
Ba (0.000, 0.175, 0.602) x8
Ba (0.155, 0.148, 0.259) x16
Li (0.000, 0.000, 0.577) x4
Sb (0.000, 0.000, 0.126) x4
Sb (0.000, 0.000, 0.378) x4
Sb (0.114, 0.000, 0.747) x8
Sb (0.250, 0.250, 0.004) x8
O (0.000, 0.244, 0.260) x8

12.
## Ba2AcPbSe4 (GGA-PBE)

Data for a geometry-optimized Ba2AcPbSe4 structure.

Values from the calculation:
- Total energy: -4.81 eV/atom
- Energy relative to the elements, uncorrected: -1609 meV/atom

a = 7.886 Å, b = 4.594 Å, c = 7.940 Å
α = 90.00°, β = 109.61°, γ = 90.00°
Space group P2/m (No. 10)
Symmetry-distinct sites (fractional):
Ba (0.000, 0.000, 0.000) x1
Ba (0.500, 0.500, 0.000) x1
Ac (0.000, 0.500, 0.500) x1
Pb (0.500, 0.000, 0.500) x1
Se (0.244, 0.000, 0.732) x2
Se (0.255, 0.500, 0.269) x2

13.
## Rb4U3AgS8 (GGA-PBE)

Data for a geometry-optimized Rb4U3AgS8 structure.

Values from the calculation:
- Total energy: -5.83 eV/atom
- Energy relative to the elements, uncorrected: -1233 meV/atom

a = 8.1808 Å, b = 8.1808 Å, c = 23.0505 Å
α = 90.00°, β = 90.00°, γ = 120.00°
Space group R-3m (No. 166, hexagonal axes)
Symmetry-distinct sites (fractional):
Rb (0.0000, 0.0000, 0.0000) x3
Rb (0.0000, 0.5000, 0.0000) x9
U (0.0000, 0.5000, 0.5000) x9
Ag (0.0000, 0.0000, 0.5000) x3
S (0.0000, 0.0000, 0.2310) x6
S (0.0161, 0.5080, 0.7694) x18

14.
## NbV3H (GGA-PBE)

Data for a geometry-optimized NbV3H structure.

Values from the calculation:
- Total energy: -8.21 eV/atom
- Offset from the most stable computed form: 0.000 eV per atom

a = 5.206 Å, b = 4.411 Å, c = 5.440 Å
α = 90.00°, β = 101.01°, γ = 90.00°
Space group P2_1 (No. 4)
Symmetry-distinct sites (fractional):
Nb (0.127, 0.000, 0.189) x2
V (0.116, 0.995, 0.688) x2
V (0.360, 0.505, 0.570) x2
V (0.381, 0.501, 0.059) x2
H (0.430, 0.113, 0.638) x2

15.
## LiAc2Hg2 (GGA-PBE)

Data for a geometry-optimized LiAc2Hg2 structure.

Values from the calculation:
- DFT formation energy: -0.36 eV/atom
- Total energy: -2.51 eV/atom
- Offset from the most stable computed form: 0.000 eV per atom

a = 8.760 Å, b = 9.348 Å, c = 7.748 Å
α = 90.00°, β = 100.11°, γ = 90.00°
Space group P2_1/c (No. 14)
Symmetry-distinct sites (fractional):
Li (0.094, 0.043, 0.151) x4
Ac (0.225, 0.110, 0.638) x4
Ac (0.368, 0.709, 0.471) x4
Hg (0.052, 0.747, 0.158) x4
Hg (0.407, 0.048, 0.283) x4

16.
## Li2PdAu (GGA-PBE)

Data for a geometry-optimized Li2PdAu structure.

Values from the calculation:
- DFT formation energy: -0.29 eV/atom
- Total energy: -3.37 eV/atom
- Offset from the most stable computed form: 0.222 eV per atom

a = 6.865 Å, b = 6.865 Å, c = 5.403 Å
α = 90.00°, β = 90.00°, γ = 90.00°
Space group I-42d (No. 122)
Symmetry-distinct sites (fractional):
Li (0.246, 0.250, 0.125) x8
Pd (0.000, 0.000, 0.000) x4
Au (0.000, 0.000, 0.500) x4

17.
## Ac2NdY7 (GGA-PBE)

Data for a geometry-optimized Ac2NdY7 structure.

Values from the calculation:
- DFT formation energy: 0.20 eV/atom
- Total energy: -5.62 eV/atom

a = 5.865 Å, b = 8.412 Å, c = 8.519 Å
α = 112.73°, β = 101.42°, γ = 101.27°
Space group P-1 (No. 2)
Symmetry-distinct sites (fractional):
Ac (0.082, 0.219, 0.223) x2
Nd (0.000, 0.500, 0.000) x1
Y (0.000, 0.000, 0.500) x1
Y (0.330, 0.477, 0.727) x2
Y (0.334, 0.735, 0.477) x2
Y (0.496, 0.131, 0.873) x2

18.
## Ho6GaTe3S2 (GGA-PBE)

Data for a geometry-optimized Ho6GaTe3S2 structure.

Values from the calculation:
- Total energy: -5.44 eV/atom
- Energy relative to the elements, uncorrected: -1429 meV/atom

a = 7.116 Å, b = 12.299 Å, c = 7.412 Å
α = 90.00°, β = 108.58°, γ = 90.00°
Space group C2/m (No. 12)
Symmetry-distinct sites (fractional):
Ho (0.236, 0.000, 0.212) x4
Ho (0.238, 0.333, 0.214) x8
Ga (0.000, 0.500, 0.000) x2
Te (0.000, 0.000, 0.500) x2
Te (0.000, 0.334, 0.500) x4
S (0.000, 0.167, 0.000) x4

19.
## Ba2CuPb (GGA-PBE)

Data for a geometry-optimized Ba2CuPb structure.

Values from the calculation:
- DFT formation energy: -0.20 eV/atom
- Total energy: -3.11 eV/atom

a = 13.753 Å, b = 3.971 Å, c = 5.592 Å
α = 90.00°, β = 113.96°, γ = 90.00°
Space group Cm (No. 8)
Symmetry-distinct sites (fractional):
Ba (0.000, 0.000, 0.000) x2
Ba (0.196, 0.000, 0.696) x2
Cu (0.462, 0.000, 0.463) x2
Pb (0.300, 0.500, 0.299) x2

20.
## LiTcN (GGA-PBE)

Data for a geometry-optimized LiTcN structure.

Values from the calculation:
- Total energy: -6.72 eV/atom
- Offset from the most stable computed form: 0.434 eV per atom
- Energy relative to the elements, uncorrected: 145 meV/atom

a = 4.906 Å, b = 4.906 Å, c = 4.906 Å
α = 90.00°, β = 90.00°, γ = 90.00°
Space group F-43m (No. 216)
Symmetry-distinct sites (fractional):
Li (0.000, 0.000, 0.000) x4
Tc (0.000, 0.000, 0.500) x4
N (0.250, 0.250, 0.250) x4